Entry 1:
# HfZrIn2Ni2Pd2 | OQMD via LeMat-Bulk | PBE | relaxed
data_HfZrIn2Ni2Pd2
_chemical_formula_sum 'Hf1 Zr1 In2 Ni2 Pd2'
_cell_length_a 4.5750
_cell_length_b 4.5750
_cell_length_c 6.4911
_cell_angle_alpha 90.00
_cell_angle_beta 90.00
_cell_angle_gamma 90.00
_symmetry_space_group_name_H-M 'P 1'
_symmetry_Int_Tables_number 1
loop_
_symmetry_equiv_pos_as_xyz
'x,y,z'
loop_
_atom_site_label
_atom_site_type_symbol
_atom_site_fract_x
_atom_site_fract_y
_atom_site_fract_z
Hf1 Hf 0.0000 0.0000 0.0000
Zr1 Zr 0.5000 0.5000 0.5000
In1 In 0.0000 0.0000 0.5000
In2 In 0.5000 0.5000 0.0000
Ni1 Ni 0.0000 0.5000 0.7535
Ni2 Ni 0.5000 0.0000 0.2465
Pd1 Pd 0.0000 0.5000 0.2444
Pd2 Pd 0.5000 0.0000 0.7556
# Magnetization: 0.00 μB per formula unit

Entry 2:
# HfInNiPt | OQMD via LeMat-Bulk | PBE | relaxed
data_HfInNiPt
_chemical_formula_sum 'Hf4 In4 Ni4 Pt4'
_cell_length_a 6.4375
_cell_length_b 6.4375
_cell_length_c 6.4375
_cell_angle_alpha 90.00
_cell_angle_beta 90.00
_cell_angle_gamma 90.00
_symmetry_space_group_name_H-M 'P 1'
_symmetry_Int_Tables_number 1
loop_
_symmetry_equiv_pos_as_xyz
'x,y,z'
loop_
_atom_site_label
_atom_site_type_symbol
_atom_site_fract_x
_atom_site_fract_y
_atom_site_fract_z
Hf1 Hf 0.0000 0.0000 0.0000
Hf2 Hf 0.0000 0.5000 0.5000
Hf3 Hf 0.5000 0.0000 0.5000
Hf4 Hf 0.5000 0.5000 0.0000
In1 In 0.0000 0.0000 0.5000
In2 In 0.0000 0.5000 0.0000
In3 In 0.5000 0.0000 0.0000
In4 In 0.5000 0.5000 0.5000
Ni1 Ni 0.2500 0.2500 0.7500
Ni2 Ni 0.2500 0.7500 0.2500
Ni3 Ni 0.7500 0.2500 0.2500
Ni4 Ni 0.7500 0.7500 0.7500
Pt1 Pt 0.2500 0.2500 0.2500
Pt2 Pt 0.2500 0.7500 0.7500
Pt3 Pt 0.7500 0.2500 0.7500
Pt4 Pt 0.7500 0.7500 0.2500
# Magnetization: 0.00 μB per formula unit
# Polymorph energy (0 for the lowest one): 0.0000 eV per atom

Entry 3:
# HfInNiPt | OQMD via LeMat-Bulk | PBE | relaxed
data_HfInNiPt
_chemical_formula_sum 'Hf4 In4 Ni4 Pt4'
_cell_length_a 6.4916
_cell_length_b 6.4916
_cell_length_c 6.4916
_cell_angle_alpha 90.00
_cell_angle_beta 90.00
_cell_angle_gamma 90.00
_symmetry_space_group_name_H-M 'P 1'
_symmetry_Int_Tables_number 1
loop_
_symmetry_equiv_pos_as_xyz
'x,y,z'
loop_
_atom_site_label
_atom_site_type_symbol
_atom_site_fract_x
_atom_site_fract_y
_atom_site_fract_z
Hf1 Hf 0.0000 0.0000 0.0000
Hf2 Hf 0.0000 0.5000 0.5000
Hf3 Hf 0.5000 0.0000 0.5000
Hf4 Hf 0.5000 0.5000 0.0000
In1 In 0.2500 0.2500 0.2500
In2 In 0.2500 0.7500 0.7500
In3 In 0.7500 0.2500 0.7500
In4 In 0.7500 0.7500 0.2500
Ni1 Ni 0.0000 0.0000 0.5000
Ni2 Ni 0.0000 0.5000 0.0000
Ni3 Ni 0.5000 0.0000 0.0000
Ni4 Ni 0.5000 0.5000 0.5000
Pt1 Pt 0.2500 0.2500 0.7500
Pt2 Pt 0.2500 0.7500 0.2500
Pt3 Pt 0.7500 0.2500 0.2500
Pt4 Pt 0.7500 0.7500 0.7500
# Magnetization: 0.01 μB per formula unit
# Polymorph energy (0 for the lowest one): 0.2894 eV per atom

Entry 4:
# HfInReNi | OQMD via LeMat-Bulk | PBE | relaxed
data_HfInReNi
_chemical_formula_sum 'Hf4 In4 Re4 Ni4'
_cell_length_a 6.4875
_cell_length_b 6.4875
_cell_length_c 6.4875
_cell_angle_alpha 90.00
_cell_angle_beta 90.00
_cell_angle_gamma 90.00
_symmetry_space_group_name_H-M 'P 1'
_symmetry_Int_Tables_number 1
loop_
_symmetry_equiv_pos_as_xyz
'x,y,z'
loop_
_atom_site_label
_atom_site_type_symbol
_atom_site_fract_x
_atom_site_fract_y
_atom_site_fract_z
Hf1 Hf 0.0000 0.0000 0.0000
Hf2 Hf 0.0000 0.5000 0.5000
Hf3 Hf 0.5000 0.0000 0.5000
Hf4 Hf 0.5000 0.5000 0.0000
In1 In 0.2500 0.2500 0.2500
In2 In 0.2500 0.7500 0.7500
In3 In 0.7500 0.2500 0.7500
In4 In 0.7500 0.7500 0.2500
Re1 Re 0.2500 0.2500 0.7500
Re2 Re 0.2500 0.7500 0.2500
Re3 Re 0.7500 0.2500 0.2500
Re4 Re 0.7500 0.7500 0.7500
Ni1 Ni 0.0000 0.0000 0.5000
Ni2 Ni 0.0000 0.5000 0.0000
Ni3 Ni 0.5000 0.0000 0.0000
Ni4 Ni 0.5000 0.5000 0.5000
# Magnetization: 0.44 μB per formula unit

Entry 5:
# HfScIn4Ni2 | OQMD via LeMat-Bulk | PBE | relaxed
data_HfScIn4Ni2
_chemical_formula_sum 'Hf2 Sc2 In8 Ni4'
_cell_length_a 7.0680
_cell_length_b 4.2697
_cell_length_c 10.1121
_cell_angle_alpha 90.00
_cell_angle_beta 90.00
_cell_angle_gamma 90.00
_symmetry_space_group_name_H-M 'P 1'
_symmetry_Int_Tables_number 1
loop_
_symmetry_equiv_pos_as_xyz
'x,y,z'
loop_
_atom_site_label
_atom_site_type_symbol
_atom_site_fract_x
_atom_site_fract_y
_atom_site_fract_z
Hf1 Hf 0.0000 0.0000 0.0000
Hf2 Hf 0.0000 0.5000 0.5000
Sc1 Sc 0.5000 0.0000 0.8651
Sc2 Sc 0.5000 0.5000 0.3651
In1 In 0.2054 0.0000 0.2935
In2 In 0.2054 0.5000 0.7935
In3 In 0.2942 0.0000 0.5714
In4 In 0.2942 0.5000 0.0714
In5 In 0.7058 0.0000 0.5714
In6 In 0.7058 0.5000 0.0714
In7 In 0.7946 0.0000 0.2935
In8 In 0.7946 0.5000 0.7935
Ni1 Ni 0.0000 0.0000 0.7279
Ni2 Ni 0.0000 0.5000 0.2279
Ni3 Ni 0.5000 0.0000 0.1384
Ni4 Ni 0.5000 0.5000 0.6384
# Magnetization: 0.00 μB per formula unit

Entry 6:
# HfScInNi | OQMD via LeMat-Bulk | PBE | relaxed
data_HfScInNi
_chemical_formula_sum 'Hf4 Sc4 In4 Ni4'
_cell_length_a 6.6887
_cell_length_b 6.6887
_cell_length_c 6.6887
_cell_angle_alpha 90.00
_cell_angle_beta 90.00
_cell_angle_gamma 90.00
_symmetry_space_group_name_H-M 'P 1'
_symmetry_Int_Tables_number 1
loop_
_symmetry_equiv_pos_as_xyz
'x,y,z'
loop_
_atom_site_label
_atom_site_type_symbol
_atom_site_fract_x
_atom_site_fract_y
_atom_site_fract_z
Hf1 Hf 0.0000 0.0000 0.0000
Hf2 Hf 0.0000 0.5000 0.5000
Hf3 Hf 0.5000 0.0000 0.5000
Hf4 Hf 0.5000 0.5000 0.0000
Sc1 Sc 0.2500 0.2500 0.2500
Sc2 Sc 0.2500 0.7500 0.7500
Sc3 Sc 0.7500 0.2500 0.7500
Sc4 Sc 0.7500 0.7500 0.2500
In1 In 0.0000 0.0000 0.5000
In2 In 0.0000 0.5000 0.0000
In3 In 0.5000 0.0000 0.0000
In4 In 0.5000 0.5000 0.5000
Ni1 Ni 0.2500 0.2500 0.7500
Ni2 Ni 0.2500 0.7500 0.2500
Ni3 Ni 0.7500 0.2500 0.2500
Ni4 Ni 0.7500 0.7500 0.7500
# Magnetization: 1.93 μB per formula unit
# Polymorph energy (0 for the lowest one): 0.0000 eV per atom

no.,E_tot (Ry/atom)
1,-0.4570
2,-0.4930
3,-0.4717
4,-0.5399
5,-0.3722
6,-0.4517